The following is a PBE calculation of a geometry-optimized LiRe2Se structure, from Alexandria via LeMat-Bulk.

a = 2.7639 Å, b = 2.7639 Å, c = 9.0353 Å
α = 90.00°, β = 90.00°, γ = 114.08°
Last column: nearest neighbours and their distance in Å.
Fractional coordinates of all 4 atoms:
Li1 0.5000 0.5000 0.7501  2 Se 2.65, 2 Re 2.74, 4 Li 2.76
Re1 0.5000 0.5000 0.2380  6 Re 2.59-2.76, 2 Se 2.87
Se1 0.0000 0.0000 0.5079  2 Li 2.65, 4 Se 2.76, 2 Re 2.87
Re2 0.0000 0.0000 0.0040  6 Re 2.59-2.76, 2 Li 2.74

## Properties
Raw formation energy, meV/atom: 343
Size of the total moment, μB per atom: 0.0000
SG: No. 35